Entry 1:
# Sr6P2HBr3 (PBE, optimized geometry)
# Volume: 731.0 Å³ per cell
# D(E_F): 10.20 states/eV per cell
# Total energy: -3.72 eV/atom
data_Sr6P2HBr3
_chemical_formula_sum 'Sr12 P4 H2 Br6'
_cell_length_a 7.487
_cell_length_b 13.001
_cell_length_c 7.927
_cell_angle_alpha 90.00
_cell_angle_beta 108.68
_cell_angle_gamma 90.00
_symmetry_space_group_name_H-M 'C 1 2/m 1'
_symmetry_Int_Tables_number 12
loop_
_symmetry_equiv_pos_as_xyz
'x,y,z'
'-x,-y,-z'
'-x,y,-z'
'x,-y,z'
'x+1/2,y+1/2,z'
'-x+1/2,-y+1/2,-z'
'-x+1/2,y+1/2,-z'
'x+1/2,-y+1/2,z'
loop_
_atom_site_label
_atom_site_type_symbol
_atom_site_fract_x
_atom_site_fract_y
_atom_site_fract_z
_atom_site_occupancy
Sr1 Sr 0.238 0.166 0.214 1
Sr2 Sr 0.239 0.500 0.218 1
P1 P 0.000 0.334 0.000 1
H1 H 0.000 0.000 0.000 1
Br1 Br 0.000 0.174 0.500 1
Br2 Br 0.000 0.500 0.500 1

Entry 2:
# P2HWBr (PBE, optimized geometry)
# Volume: 119.0 Å³ per cell
# D(E_F): 3.98 states/eV per cell
# Total energy: -3.23 eV/atom
data_P2HWBr
_chemical_formula_sum 'P2 H1 W1 Br1'
_cell_length_a 5.052
_cell_length_b 5.052
_cell_length_c 4.660
_cell_angle_alpha 90.00
_cell_angle_beta 90.00
_cell_angle_gamma 90.00
_symmetry_space_group_name_H-M 'P 4/m m m'
_symmetry_Int_Tables_number 123
_symmetry_space_group_name_Hall '-P 4 2'
loop_
_atom_site_label
_atom_site_type_symbol
_atom_site_fract_x
_atom_site_fract_y
_atom_site_fract_z
_atom_site_occupancy
P1 P 0.000 0.500 0.000 1
H1 H 0.000 0.000 0.500 1
W1 W 0.500 0.500 0.500 1
Br1 Br 0.500 0.500 0.000 1

Q: Which of these has the highest total energy?
A: P2HWBr